Record 1
Ba3Na3Pt (GGA-PBE, relaxed); total magnetic moment = 0.00 μB per cell; density of states at the Fermi level = 10.15 states/eV/cell; ΔE_f = -0.24 eV per atom; space group = R-3; crystal system = trigonal
1.0
3.855 2.226 13.160
-3.855 2.226 13.160
0.000 -4.452 13.160
Ba Na Pt
6 6 2
Direct
0.115 0.454 0.794 Ba
0.206 0.885 0.546 Ba
0.454 0.794 0.115 Ba
0.546 0.206 0.885 Ba
0.794 0.115 0.454 Ba
0.885 0.546 0.206 Ba
0.047 0.693 0.362 Na
0.307 0.638 0.953 Na
0.362 0.047 0.693 Na
0.638 0.953 0.307 Na
0.693 0.362 0.047 Na
0.953 0.307 0.638 Na
0.167 0.167 0.167 Pt
0.833 0.833 0.833 Pt

Record 2
BaNa4Pt2 (GGA-PBE, relaxed); total magnetic moment = 0.00 μB per cell; density of states at the Fermi level = 5.49 states/eV/cell; ΔE_f = 0.48 eV per atom; space group = I4/mmm; crystal system = tetragonal
1.0
5.588 0.000 0.000
0.000 5.588 0.000
0.000 0.000 15.839
Ba Na Pt
2 8 4
Direct
0.000 0.000 0.000 Ba
0.500 0.500 0.500 Ba
0.000 0.000 0.242 Na
0.000 0.000 0.758 Na
0.000 0.500 0.000 Na
0.000 0.500 0.500 Na
0.500 0.000 0.000 Na
0.500 0.000 0.500 Na
0.500 0.500 0.258 Na
0.500 0.500 0.742 Na
0.000 0.000 0.419 Pt
0.000 0.000 0.581 Pt
0.500 0.500 0.081 Pt
0.500 0.500 0.919 Pt

Record 3
Ba4Na3Pt (GGA-PBE, relaxed); total magnetic moment = 0.00 μB per cell; density of states at the Fermi level = 21.86 states/eV/cell; ΔE_f = -0.16 eV per atom; space group = Pnma; crystal system = orthorhombic
1.0
12.374 0.000 0.000
0.000 12.372 0.000
0.000 0.000 9.967
Ba Na Pt
16 12 4
Direct
0.110 0.250 0.241 Ba
0.120 0.750 0.447 Ba
0.184 0.578 0.017 Ba
0.184 0.922 0.017 Ba
0.316 0.078 0.517 Ba
0.316 0.422 0.517 Ba
0.380 0.250 0.947 Ba
0.390 0.750 0.741 Ba
0.610 0.250 0.259 Ba
0.620 0.750 0.053 Ba
0.684 0.578 0.483 Ba
0.684 0.922 0.483 Ba
0.816 0.078 0.983 Ba
0.816 0.422 0.983 Ba
0.880 0.250 0.553 Ba
0.890 0.750 0.759 Ba
0.048 0.019 0.664 Na
0.048 0.481 0.664 Na
0.088 0.250 0.839 Na
0.412 0.750 0.339 Na
0.452 0.519 0.164 Na
0.452 0.981 0.164 Na
0.548 0.019 0.836 Na
0.548 0.481 0.836 Na
0.588 0.250 0.661 Na
0.912 0.750 0.161 Na
0.952 0.519 0.336 Na
0.952 0.981 0.336 Na
0.131 0.250 0.547 Pt
0.369 0.750 0.047 Pt
0.631 0.250 0.953 Pt
0.869 0.750 0.453 Pt

Record 4
Ba12Na3Pt5 (GGA-PBE, relaxed); total magnetic moment = 0.00 μB per cell; density of states at the Fermi level = 58.22 states/eV/cell; ΔE_f = -0.30 eV per atom; space group = Ia-3d; crystal system = cubic
1.0
-10.131 10.131 10.131
10.131 -10.131 10.131
10.131 10.131 -10.131
Ba Na Pt
48 12 20
Direct
0.016 0.196 0.109 Ba
0.016 0.320 0.907 Ba
0.087 0.696 0.680 Ba
0.087 0.891 0.407 Ba
0.093 0.609 0.413 Ba
0.093 0.984 0.680 Ba
0.109 0.016 0.196 Ba
0.109 0.593 0.913 Ba
0.180 0.196 0.587 Ba
0.180 0.484 0.593 Ba
0.196 0.109 0.016 Ba
0.196 0.587 0.180 Ba
0.304 0.320 0.913 Ba
0.304 0.484 0.391 Ba
0.320 0.907 0.016 Ba
0.320 0.913 0.304 Ba
0.391 0.304 0.484 Ba
0.391 0.587 0.907 Ba
0.407 0.087 0.891 Ba
0.407 0.820 0.516 Ba
0.413 0.093 0.609 Ba
0.413 0.820 0.804 Ba
0.484 0.391 0.304 Ba
0.484 0.593 0.180 Ba
0.516 0.407 0.820 Ba
0.516 0.609 0.696 Ba
0.587 0.180 0.196 Ba
0.587 0.907 0.391 Ba
0.593 0.180 0.484 Ba
0.593 0.913 0.109 Ba
0.609 0.413 0.093 Ba
0.609 0.696 0.516 Ba
0.680 0.087 0.696 Ba
0.680 0.093 0.984 Ba
0.696 0.516 0.609 Ba
0.696 0.680 0.087 Ba
0.804 0.413 0.820 Ba
0.804 0.891 0.984 Ba
0.820 0.516 0.407 Ba
0.820 0.804 0.413 Ba
0.891 0.407 0.087 Ba
0.891 0.984 0.804 Ba
0.907 0.016 0.320 Ba
0.907 0.391 0.587 Ba
0.913 0.109 0.593 Ba
0.913 0.304 0.320 Ba
0.984 0.680 0.093 Ba
0.984 0.804 0.891 Ba
0.125 0.250 0.375 Na
0.125 0.375 0.750 Na
0.250 0.375 0.125 Na
0.250 0.875 0.625 Na
0.375 0.125 0.250 Na
0.375 0.750 0.125 Na
0.625 0.250 0.875 Na
0.625 0.875 0.750 Na
0.750 0.125 0.375 Na
0.750 0.625 0.875 Na
0.875 0.625 0.250 Na
0.875 0.750 0.625 Na
0.000 0.000 0.000 Pt
0.000 0.000 0.500 Pt
0.000 0.500 0.000 Pt
0.000 0.500 0.500 Pt
0.125 0.750 0.875 Pt
0.125 0.875 0.250 Pt
0.250 0.125 0.875 Pt
0.250 0.625 0.375 Pt
0.375 0.250 0.625 Pt
0.375 0.625 0.750 Pt
0.500 0.000 0.000 Pt
0.500 0.000 0.500 Pt
0.500 0.500 0.000 Pt
0.500 0.500 0.500 Pt
0.625 0.375 0.250 Pt
0.625 0.750 0.375 Pt
0.750 0.375 0.625 Pt
0.750 0.875 0.125 Pt
0.875 0.125 0.750 Pt
0.875 0.250 0.125 Pt

Record 5
Ba14NaPt (GGA-PBE, relaxed); total magnetic moment = 0.00 μB per cell; density of states at the Fermi level = 23.10 states/eV/cell; ΔE_f = -0.05 eV per atom; space group = Amm2; crystal system = orthorhombic
1.0
12.286 0.000 0.000
0.000 5.352 7.053
0.000 -5.352 7.053
Ba Na Pt
14 1 1
Direct
0.000 0.000 0.000 Ba
0.000 0.473 0.473 Ba
0.000 0.518 0.949 Ba
0.000 0.949 0.518 Ba
0.229 0.235 0.235 Ba
0.289 0.790 0.790 Ba
0.316 0.330 0.712 Ba
0.316 0.712 0.330 Ba
0.500 0.039 0.484 Ba
0.500 0.484 0.039 Ba
0.684 0.330 0.712 Ba
0.684 0.712 0.330 Ba
0.711 0.790 0.790 Ba
0.771 0.235 0.235 Ba
0.500 0.021 0.021 Na
0.500 0.645 0.645 Pt

Record 6
Ba7Na3Pt (GGA-PBE, relaxed); total magnetic moment = 0.00 μB per cell; density of states at the Fermi level = 13.86 states/eV/cell; ΔE_f = -0.02 eV per atom; space group = R3m; crystal system = trigonal
1.0
6.738 3.890 3.819
-6.738 3.890 3.819
0.000 -7.780 3.819
Ba Na Pt
7 3 1
Direct
0.000 0.000 0.000 Ba
0.446 0.446 0.761 Ba
0.446 0.761 0.446 Ba
0.522 0.959 0.959 Ba
0.761 0.446 0.446 Ba
0.959 0.522 0.959 Ba
0.959 0.959 0.522 Ba
0.118 0.366 0.366 Na
0.366 0.118 0.366 Na
0.366 0.366 0.118 Na
0.727 0.727 0.727 Pt

Record 7
BaNa2Pt2 (GGA-PBE, relaxed); total magnetic moment = 0.00 μB per cell; density of states at the Fermi level = 3.19 states/eV/cell; ΔE_f = -0.38 eV per atom; space group = Imma; crystal system = orthorhombic
1.0
-2.285 2.289 13.251
2.285 -2.289 13.251
2.285 2.289 -13.251
Ba Na Pt
2 4 4
Direct
0.322 0.072 0.250 Ba
0.678 0.928 0.750 Ba
0.058 0.808 0.250 Na
0.441 0.691 0.750 Na
0.559 0.309 0.250 Na
0.942 0.192 0.750 Na
0.129 0.379 0.750 Pt
0.227 0.477 0.750 Pt
0.773 0.523 0.250 Pt
0.871 0.621 0.250 Pt

Record 8
Ba2NaPt9 (GGA-PBE, relaxed); total magnetic moment = 0.00 μB per cell; density of states at the Fermi level = 7.14 states/eV/cell; ΔE_f = -0.44 eV per atom; space group = R-3m; crystal system = trigonal
1.0
2.792 1.612 8.991
-2.792 1.612 8.991
0.000 -3.223 8.991
Ba Na Pt
2 1 9
Direct
0.138 0.138 0.138 Ba
0.862 0.862 0.862 Ba
0.000 0.000 0.000 Na
0.079 0.580 0.580 Pt
0.332 0.332 0.332 Pt
0.420 0.420 0.921 Pt
0.420 0.921 0.420 Pt
0.500 0.500 0.500 Pt
0.580 0.079 0.580 Pt
0.580 0.580 0.079 Pt
0.668 0.668 0.668 Pt
0.921 0.420 0.420 Pt

Record 9
BaNa2Pt2 (GGA-PBE, relaxed); total magnetic moment = 0.00 μB per cell; density of states at the Fermi level = 0.53 states/eV/cell; ΔE_f = -0.35 eV per atom; space group = I4/mmm; crystal system = tetragonal
1.0
4.443 0.000 0.000
0.000 4.443 0.000
0.000 0.000 13.230
Ba Na Pt
2 4 4
Direct
0.000 0.000 0.000 Ba
0.500 0.500 0.500 Ba
0.000 0.500 0.250 Na
0.000 0.500 0.750 Na
0.500 0.000 0.250 Na
0.500 0.000 0.750 Na
0.000 0.000 0.400 Pt
0.000 0.000 0.600 Pt
0.500 0.500 0.100 Pt
0.500 0.500 0.900 Pt

Record 10
Ba6NaPt2 (GGA-PBE, relaxed); total magnetic moment = 0.00 μB per cell; density of states at the Fermi level = 5.91 states/eV/cell; ΔE_f = -0.37 eV per atom; space group = C2/m; crystal system = monoclinic
1.0
7.653 -3.163 0.000
7.653 3.163 0.000
-4.831 0.000 9.837
Ba Na Pt
6 1 2
Direct
0.012 0.012 0.187 Ba
0.306 0.306 0.924 Ba
0.328 0.328 0.398 Ba
0.672 0.672 0.602 Ba
0.694 0.694 0.076 Ba
0.988 0.988 0.813 Ba
0.000 0.000 0.500 Na
0.176 0.176 0.093 Pt
0.824 0.824 0.907 Pt

Record 11
Ba8Na2Pt (GGA-PBE, relaxed); total magnetic moment = 0.00 μB per cell; density of states at the Fermi level = 11.85 states/eV/cell; ΔE_f = -0.12 eV per atom; space group = C2/m; crystal system = monoclinic
1.0
7.500 -5.564 0.000
7.500 5.564 0.000
-2.384 0.000 7.793
Ba Na Pt
8 2 1
Direct
0.097 0.097 0.338 Ba
0.172 0.559 0.280 Ba
0.380 0.380 0.757 Ba
0.441 0.828 0.720 Ba
0.559 0.172 0.280 Ba
0.620 0.620 0.243 Ba
0.828 0.441 0.720 Ba
0.903 0.903 0.662 Ba
0.166 0.166 0.927 Na
0.834 0.834 0.073 Na
0.500 0.500 0.500 Pt

Record 12
Ba2NaPt2 (GGA-PBE, relaxed); total magnetic moment = 0.00 μB per cell; density of states at the Fermi level = 4.49 states/eV/cell; ΔE_f = -0.53 eV per atom; space group = P4/mbm; crystal system = tetragonal
1.0
8.615 0.000 0.000
0.000 8.615 0.000
0.000 0.000 4.155
Ba Na Pt
4 2 4
Direct
0.153 0.347 0.000 Ba
0.347 0.847 0.000 Ba
0.653 0.153 0.000 Ba
0.847 0.653 0.000 Ba
0.000 0.000 0.500 Na
0.500 0.500 0.500 Na
0.148 0.648 0.500 Pt
0.352 0.148 0.500 Pt
0.648 0.852 0.500 Pt
0.852 0.352 0.500 Pt

Record 13
Ba5Na4Pt (GGA-PBE, relaxed); total magnetic moment = 0.00 μB per cell; density of states at the Fermi level = 7.78 states/eV/cell; ΔE_f = -0.18 eV per atom; space group = I4/mmm; crystal system = tetragonal
1.0
-6.373 6.373 3.140
6.373 -6.373 3.140
6.373 6.373 -3.140
Ba Na Pt
5 4 1
Direct
0.000 0.000 0.000 Ba
0.329 0.329 0.658 Ba
0.329 0.671 0.000 Ba
0.671 0.329 0.000 Ba
0.671 0.671 0.342 Ba
0.000 0.349 0.349 Na
0.000 0.651 0.651 Na
0.349 0.000 0.349 Na
0.651 0.000 0.651 Na
0.500 0.500 0.000 Pt

Record 14
Ba4NaPt (GGA-PBE, relaxed); total magnetic moment = 0.00 μB per cell; density of states at the Fermi level = 9.19 states/eV/cell; ΔE_f = -0.29 eV per atom; space group = C2/c; crystal system = monoclinic
1.0
5.519 -8.755 0.000
5.519 8.755 0.000
-4.103 0.000 6.784
Ba Na Pt
8 2 2
Direct
0.056 0.648 0.842 Ba
0.149 0.247 0.703 Ba
0.247 0.149 0.203 Ba
0.352 0.944 0.658 Ba
0.648 0.056 0.342 Ba
0.753 0.851 0.797 Ba
0.851 0.753 0.297 Ba
0.944 0.352 0.158 Ba
0.391 0.609 0.250 Na
0.609 0.391 0.750 Na
0.073 0.927 0.750 Pt
0.927 0.073 0.250 Pt

Record 15
Ba4Na3Pt2 (GGA-PBE, relaxed); total magnetic moment = 0.00 μB per cell; density of states at the Fermi level = 5.63 states/eV/cell; ΔE_f = -0.32 eV per atom; space group = C2/m; crystal system = monoclinic
1.0
9.387 -2.238 0.000
9.387 2.238 0.000
-4.485 0.000 9.957
Ba Na Pt
4 3 2
Direct
0.053 0.053 0.213 Ba
0.301 0.301 0.386 Ba
0.699 0.699 0.614 Ba
0.947 0.947 0.787 Ba
0.000 0.000 0.500 Na
0.329 0.329 0.972 Na
0.671 0.671 0.028 Na
0.325 0.325 0.697 Pt
0.675 0.675 0.303 Pt

Record 16
Ba2Na2Pt (GGA-PBE, relaxed); total magnetic moment = 0.00 μB per cell; density of states at the Fermi level = 8.32 states/eV/cell; ΔE_f = -0.26 eV per atom; space group = I4_1/amd; crystal system = tetragonal
1.0
-2.707 2.707 13.846
2.707 -2.707 13.846
2.707 2.707 -13.846
Ba Na Pt
4 4 2
Direct
0.069 0.319 0.750 Ba
0.319 0.069 0.250 Ba
0.681 0.931 0.750 Ba
0.931 0.681 0.250 Ba
0.200 0.450 0.750 Na
0.450 0.200 0.250 Na
0.550 0.800 0.750 Na
0.800 0.550 0.250 Na
0.125 0.875 0.250 Pt
0.875 0.125 0.750 Pt

Record 17
Ba5Na5Pt (GGA-PBE, relaxed); total magnetic moment = 0.00 μB per cell; density of states at the Fermi level = 10.75 states/eV/cell; ΔE_f = -0.14 eV per atom; space group = Immm; crystal system = orthorhombic
1.0
-3.096 5.631 8.019
3.096 -5.631 8.019
3.096 5.631 -8.019
Ba Na Pt
5 5 1
Direct
0.000 0.000 0.000 Ba
0.054 0.359 0.695 Ba
0.336 0.641 0.695 Ba
0.664 0.359 0.305 Ba
0.946 0.641 0.305 Ba
0.249 0.249 0.000 Na
0.377 0.877 0.500 Na
0.500 0.500 0.000 Na
0.623 0.123 0.500 Na
0.751 0.751 0.000 Na
0.000 0.500 0.500 Pt

Record 18
Ba6NaPt2 (GGA-PBE, relaxed); total magnetic moment = 0.00 μB per cell; density of states at the Fermi level = 7.21 states/eV/cell; ΔE_f = -0.39 eV per atom; space group = R3; crystal system = trigonal
1.0
4.174 2.410 7.584
-4.174 2.410 7.584
0.000 -4.820 7.584
Ba Na Pt
6 1 2
Direct
0.030 0.312 0.658 Ba
0.097 0.915 0.474 Ba
0.312 0.658 0.030 Ba
0.474 0.097 0.915 Ba
0.658 0.030 0.312 Ba
0.915 0.474 0.097 Ba
0.551 0.551 0.551 Na
0.071 0.071 0.071 Pt
0.255 0.255 0.255 Pt